1.
Compound: Ta2Be15Co2
Source: Alexandria
Functional: PBE
Structure: relaxed Values from VASP.

Computed properties:
calculated volume = 9.067 Å³ per atom
electronic total energy = -98.38 eV for the cell shown
ΔE_f = -240 meV per atom
crystal system = trigonal
space-group type = R-3m, No. 166

The structure in Quantum ESPRESSO input format:
```
&SYSTEM
  ibrav = 0, nat = 19, ntyp = 3
/
ATOMIC_SPECIES
Ta 180.95 Ta.upf
Be 9.01 Be.upf
Co 58.93 Co.upf
CELL_PARAMETERS angstrom
3.724 2.150 3.586
-3.724 2.150 3.586
0.000 -4.300 3.586
ATOMIC_POSITIONS crystal
Ta 0.154 0.154 0.154
Ta 0.846 0.846 0.846
Be 0.000 0.500 0.500
Be 0.154 0.154 0.659
Be 0.154 0.659 0.154
Be 0.216 0.500 0.784
Be 0.216 0.784 0.500
Be 0.341 0.846 0.846
Be 0.500 0.000 0.500
Be 0.500 0.216 0.784
Be 0.500 0.500 0.000
Be 0.500 0.784 0.216
Be 0.659 0.154 0.154
Be 0.784 0.216 0.500
Be 0.784 0.500 0.216
Be 0.846 0.341 0.846
Be 0.846 0.846 0.341
Co 0.391 0.391 0.391
Co 0.609 0.609 0.609
```

***

2.
Compound: Ba8AsAu2
Source: Alexandria
Functional: PBE
Structure: relaxed Values from VASP.

Computed properties:
calculated volume = 57.748 Å³ per atom
electronic total energy = -30.34 eV for the cell shown
ΔE_f = -341 meV per atom
crystal system = triclinic
space-group type = P-1, No. 2

The structure in Quantum ESPRESSO input format:
```
&SYSTEM
  ibrav = 0, nat = 11, ntyp = 3
/
ATOMIC_SPECIES
Ba 137.33 Ba.upf
As 74.92 As.upf
Au 196.97 Au.upf
CELL_PARAMETERS angstrom
6.979 0.000 0.000
0.000 10.243 0.000
0.002 5.117 8.887
ATOMIC_POSITIONS crystal
Ba 0.231 0.333 0.334
Ba 0.255 0.308 0.845
Ba 0.255 0.844 0.848
Ba 0.255 0.848 0.308
Ba 0.745 0.152 0.692
Ba 0.745 0.156 0.152
Ba 0.745 0.692 0.155
Ba 0.769 0.667 0.666
As 0.500 0.000 0.000
Au 0.275 0.667 0.666
Au 0.725 0.333 0.334
```

***

3.
Compound: La2Tb7Sc2
Source: Alexandria
Functional: PBE
Structure: relaxed Values from VASP.

Computed properties:
calculated volume = 31.887 Å³ per atom
ΔE to the lowest computed polymorph = 0.0000 eV per atom
electronic total energy = -54.16 eV for the cell shown
ΔE_f = 70 meV per atom
crystal system = triclinic
space-group type = P-1, No. 2

The structure in Quantum ESPRESSO input format:
```
&SYSTEM
  ibrav = 0, nat = 11, ntyp = 3
/
ATOMIC_SPECIES
La 138.91 La.upf
Tb 158.93 Tb.upf
Sc 44.96 Sc.upf
CELL_PARAMETERS angstrom
5.924 0.000 0.000
2.915 5.860 0.000
0.055 0.637 10.105
ATOMIC_POSITIONS crystal
La 0.246 0.425 0.390
La 0.754 0.575 0.610
Tb 0.000 0.000 0.500
Tb 0.244 0.671 0.797
Tb 0.286 0.270 0.041
Tb 0.384 0.134 0.703
Tb 0.616 0.866 0.297
Tb 0.714 0.730 0.959
Tb 0.756 0.329 0.203
Sc 0.162 0.814 0.123
Sc 0.838 0.186 0.877
```

***

4.
Compound: RbCu2C
Source: Alexandria
Functional: PBE
Structure: relaxed Values from VASP.

Computed properties:
calculated volume = 20.544 Å³ per atom
electronic total energy = -32.54 eV for the cell shown
ΔE_f = 529 meV per atom
crystal system = tetragonal
space-group type = I4_1/amd, No. 141

The structure in Quantum ESPRESSO input format:
```
&SYSTEM
  ibrav = 0, nat = 8, ntyp = 3
/
ATOMIC_SPECIES
Rb 85.47 Rb.upf
Cu 63.55 Cu.upf
C 12.01 C.upf
CELL_PARAMETERS angstrom
-3.069 3.069 4.363
3.069 -3.069 4.363
3.069 3.069 -4.363
ATOMIC_POSITIONS crystal
Rb 0.375 0.625 0.750
Rb 0.625 0.375 0.250
Cu 0.000 0.000 0.000
Cu 0.000 0.000 0.500
Cu 0.000 0.500 0.000
Cu 0.500 0.000 0.500
C 0.125 0.875 0.250
C 0.875 0.125 0.750
```

***

5.
Compound: NaPuBr2F6
Source: Alexandria
Functional: PBE
Structure: relaxed Values from VASP.

Computed properties:
calculated volume = 19.876 Å³ per atom
electronic total energy = -52.03 eV for the cell shown
crystal system = cubic
space-group type = Fm-3m, No. 225
formation energy (no corrections) = -21.8 eV per formula unit

The structure in Quantum ESPRESSO input format:
```
&SYSTEM
  ibrav = 0, nat = 10, ntyp = 4
/
ATOMIC_SPECIES
Na 22.99 Na.upf
Pu 244.00 Pu.upf
Br 79.90 Br.upf
F 19.00 F.upf
CELL_PARAMETERS angstrom
0.000 4.632 4.632
4.632 0.000 4.632
4.632 4.632 0.000
ATOMIC_POSITIONS crystal
Na 0.000 0.000 0.000
Pu 0.500 0.500 0.500
Br 0.250 0.250 0.250
Br 0.750 0.750 0.750
F 0.276 0.276 0.724
F 0.276 0.724 0.276
F 0.276 0.724 0.724
F 0.724 0.276 0.276
F 0.724 0.276 0.724
F 0.724 0.724 0.276
```

***

6.
Compound: Pa3GeB2Ir9
Source: Alexandria
Functional: PBE
Structure: relaxed Values from VASP.

Computed properties:
calculated volume = 16.790 Å³ per atom
electronic total energy = -135.00 eV for the cell shown
ΔE_f = -586 meV per atom
crystal system = trigonal
space-group type = P-3m1, No. 164

The structure in Quantum ESPRESSO input format:
```
&SYSTEM
  ibrav = 0, nat = 15, ntyp = 4
/
ATOMIC_SPECIES
Pa 231.04 Pa.upf
Ge 72.64 Ge.upf
B 10.81 B.upf
Ir 192.22 Ir.upf
CELL_PARAMETERS angstrom
5.697 0.000 0.000
-2.849 4.934 0.000
0.000 0.000 8.959
ATOMIC_POSITIONS crystal
Pa 0.000 0.000 0.000
Pa 0.333 0.667 0.619
Pa 0.667 0.333 0.381
Ge 0.000 0.000 0.500
B 0.333 0.667 0.148
B 0.667 0.333 0.852
Ir 0.000 0.500 0.000
Ir 0.166 0.332 0.289
Ir 0.166 0.834 0.289
Ir 0.332 0.166 0.711
Ir 0.500 0.000 0.000
Ir 0.500 0.500 0.000
Ir 0.668 0.834 0.289
Ir 0.834 0.166 0.711
Ir 0.834 0.668 0.711
```

***

7.
Compound: HgPt2Br
Source: Alexandria
Functional: PBE
Structure: relaxed Values from VASP.

Computed properties:
calculated volume = 19.103 Å³ per atom
ΔE to the lowest computed polymorph = 0.4085 eV per atom
electronic total energy = -11.84 eV for the cell shown
crystal system = cubic
space-group type = F-43m, No. 216
formation energy (no corrections) = 2.2 eV per formula unit

The structure in Quantum ESPRESSO input format:
```
&SYSTEM
  ibrav = 0, nat = 4, ntyp = 3
/
ATOMIC_SPECIES
Hg 200.59 Hg.upf
Pt 195.08 Pt.upf
Br 79.90 Br.upf
CELL_PARAMETERS angstrom
0.000 3.368 3.368
3.368 0.000 3.368
3.368 3.368 0.000
ATOMIC_POSITIONS crystal
Hg 0.000 0.000 0.000
Pt 0.500 0.500 0.500
Pt 0.750 0.750 0.750
Br 0.250 0.250 0.250
```

***

8.
Compound: CrIn2Mo
Source: Alexandria
Functional: PBE
Structure: relaxed Values from VASP.

Computed properties:
calculated volume = 18.347 Å³ per atom
ΔE to the lowest computed polymorph = 0.3369 eV per atom
electronic total energy = -23.65 eV for the cell shown
ΔE_f = 570 meV per atom
crystal system = cubic
space-group type = F-43m, No. 216

The structure in Quantum ESPRESSO input format:
```
&SYSTEM
  ibrav = 0, nat = 4, ntyp = 3
/
ATOMIC_SPECIES
Cr 52.00 Cr.upf
In 114.82 In.upf
Mo 95.94 Mo.upf
CELL_PARAMETERS angstrom
0.000 3.323 3.323
3.323 0.000 3.323
3.323 3.323 0.000
ATOMIC_POSITIONS crystal
Cr 0.000 0.000 0.000
In 0.500 0.500 0.500
In 0.750 0.750 0.750
Mo 0.250 0.250 0.250
```

***

9.
Compound: Ce3Y2ErS6
Source: Alexandria
Functional: PBE
Structure: relaxed Values from VASP.

Computed properties:
calculated volume = 22.027 Å³ per atom
electronic total energy = -84.37 eV for the cell shown
crystal system = monoclinic
space-group type = C2/m, No. 12
formation energy (no corrections) = -24.3 eV per formula unit

The structure in Quantum ESPRESSO input format:
```
&SYSTEM
  ibrav = 0, nat = 12, ntyp = 4
/
ATOMIC_SPECIES
Ce 140.12 Ce.upf
Y 88.91 Y.upf
Er 167.26 Er.upf
S 32.06 S.upf
CELL_PARAMETERS angstrom
3.412 -5.915 0.000
3.412 5.915 0.000
-2.280 0.000 6.549
ATOMIC_POSITIONS crystal
Ce 0.000 0.000 0.000
Ce 0.332 0.668 0.000
Ce 0.668 0.332 0.000
Y 0.167 0.833 0.500
Y 0.833 0.167 0.500
Er 0.500 0.500 0.500
S 0.090 0.421 0.263
S 0.249 0.249 0.738
S 0.421 0.090 0.263
S 0.579 0.910 0.737
S 0.751 0.751 0.262
S 0.910 0.579 0.737
```

***

10.
Compound: InCoPt2
Source: Alexandria
Functional: PBE
Structure: relaxed Values from VASP.

Computed properties:
calculated volume = 17.293 Å³ per atom
electronic total energy = -42.79 eV for the cell shown
ΔE_f = 132 meV per atom
crystal system = tetragonal
space-group type = I-42d, No. 122

The structure in Quantum ESPRESSO input format:
```
&SYSTEM
  ibrav = 0, nat = 8, ntyp = 3
/
ATOMIC_SPECIES
In 114.82 In.upf
Co 58.93 Co.upf
Pt 195.08 Pt.upf
CELL_PARAMETERS angstrom
-1.952 1.952 9.081
1.952 -1.952 9.081
1.952 1.952 -9.081
ATOMIC_POSITIONS crystal
In 0.000 0.000 0.000
In 0.750 0.250 0.500
Co 0.250 0.750 0.500
Co 0.500 0.500 0.000
Pt 0.142 0.625 0.017
Pt 0.375 0.392 0.517
Pt 0.608 0.125 0.983
Pt 0.875 0.858 0.483
```

***

11.
Compound: BeAuBr2
Source: Alexandria
Functional: PBE
Structure: relaxed Values from VASP.

Computed properties:
calculated volume = 28.077 Å³ per atom
ΔE to the lowest computed polymorph = 0.1868 eV per atom
electronic total energy = -10.70 eV for the cell shown
crystal system = orthorhombic
space-group type = Immm, No. 71
formation energy (no corrections) = -0.3 eV per formula unit

The structure in Quantum ESPRESSO input format:
```
&SYSTEM
  ibrav = 0, nat = 4, ntyp = 3
/
ATOMIC_SPECIES
Be 9.01 Be.upf
Au 196.97 Au.upf
Br 79.90 Br.upf
CELL_PARAMETERS angstrom
-1.600 2.712 6.471
1.600 -2.712 6.471
1.600 2.712 -6.471
ATOMIC_POSITIONS crystal
Be 0.000 0.000 0.000
Au 0.500 0.500 0.000
Br 0.126 0.626 0.500
Br 0.874 0.374 0.500
```

***

12.
Compound: TeIr2Ru
Source: Alexandria
Functional: PBE
Structure: relaxed Values from VASP.

Computed properties:
calculated volume = 16.302 Å³ per atom
electronic total energy = -28.12 eV for the cell shown
crystal system = orthorhombic
space-group type = Immm, No. 71
formation energy (no corrections) = 2.0 eV per formula unit

The structure in Quantum ESPRESSO input format:
```
&SYSTEM
  ibrav = 0, nat = 4, ntyp = 3
/
ATOMIC_SPECIES
Te 127.60 Te.upf
Ir 192.22 Ir.upf
Ru 101.07 Ru.upf
CELL_PARAMETERS angstrom
-1.474 2.313 4.782
1.474 -2.313 4.782
1.474 2.313 -4.782
ATOMIC_POSITIONS crystal
Te 0.000 0.000 0.000
Ir 0.236 0.736 0.500
Ir 0.764 0.264 0.500
Ru 0.500 0.500 0.000
```

***

Q: Which of these has the lowest electronic total energy?
A: Pa3GeB2Ir9